Entry 1:
{"formula": "SrZnTc", "functional": "PBE", "state": "relaxed", "e_form_ev_per_atom": 0.034, "m_tot_mub_per_cell": 0.00, "cell": [[4.296, 0.000, 0.000], [-2.148, 3.721, 0.000], [0.000, 0.000, 30.298]], "species": ["Sr", "Sr", "Sr", "Sr", "Sr", "Sr", "Zn", "Zn", "Zn", "Zn", "Zn", "Zn", "Tc", "Tc", "Tc", "Tc", "Tc", "Tc"], "frac_coords": [[0.000, 0.000, 0.228], [0.000, 0.000, 0.772], [0.333, 0.667, 0.895], [0.333, 0.667, 0.439], [0.667, 0.333, 0.561], [0.667, 0.333, 0.105], [0.000, 0.000, 0.042], [0.000, 0.000, 0.958], [0.333, 0.667, 0.709], [0.333, 0.667, 0.625], [0.667, 0.333, 0.375], [0.667, 0.333, 0.291], [0.000, 0.000, 0.341], [0.000, 0.000, 0.659], [0.333, 0.667, 0.008], [0.333, 0.667, 0.326], [0.667, 0.333, 0.674], [0.667, 0.333, 0.992]]}

***

Entry 2:
{"formula": "TcHgSbPt2", "functional": "PBE", "state": "relaxed", "raw_formation_energy_mev_per_atom": 857, "m_tot_mub_per_cell": 0.00, "cell": [[-0.161, -4.055, -2.739], [3.435, -2.176, 3.020], [-3.594, -1.761, 2.819]], "species": ["Sb", "Hg", "Pt", "Pt", "Tc"], "frac_coords": [[0.000, 0.500, 0.000], [0.500, 0.500, 0.500], [0.000, 0.000, 0.500], [0.500, 0.000, 0.000], [0.000, 0.000, 0.000]]}

***

Entry 3:
{"formula": "Cs2Hg16Bi", "functional": "PBE", "state": "relaxed", "e_form_ev_per_atom": -0.112, "m_tot_mub_per_cell": 0.00, "cell": [[-1.767, -8.369, -0.509], [7.231, -3.154, 3.345], [-2.658, -1.351, 8.033]], "species": ["Cs", "Cs", "Hg", "Hg", "Hg", "Hg", "Hg", "Hg", "Hg", "Hg", "Hg", "Hg", "Hg", "Hg", "Hg", "Hg", "Hg", "Hg", "Bi"], "frac_coords": [[0.658, 0.658, 0.658], [0.330, 0.330, 0.330], [0.710, 0.999, 0.292], [0.999, 0.292, 0.710], [0.292, 0.710, 0.999], [0.999, 0.710, 0.292], [0.710, 0.292, 0.999], [0.292, 0.999, 0.710], [0.347, 0.869, 0.347], [0.869, 0.347, 0.347], [0.347, 0.347, 0.869], [0.635, 0.181, 0.635], [0.181, 0.635, 0.635], [0.635, 0.635, 0.181], [0.986, 0.518, 0.986], [0.518, 0.986, 0.986], [0.986, 0.986, 0.518], [0.101, 0.101, 0.101], [0.904, 0.904, 0.904]]}

***

Entry 4:
{"formula": "KZr2CuO", "functional": "PBE", "state": "relaxed", "raw_formation_energy_mev_per_atom": 2243, "m_tot_mub_per_cell": 0.91, "cell": [[5.035, 0.000, 0.000], [0.000, 4.403, 0.000], [0.000, 0.000, 5.035]], "species": ["O", "K", "Cu", "Zr", "Zr"], "frac_coords": [[0.500, 0.500, 0.500], [0.000, 0.000, 0.000], [0.000, 0.500, 0.000], [0.000, 0.000, 0.500], [0.500, 0.000, 0.000]]}

***

Entry 5:
{"formula": "Li2OsPb", "functional": "PBE", "state": "relaxed", "e_form_ev_per_atom": 0.343, "m_tot_mub_per_cell": 0.00, "cell": [[-2.664, -1.966, -3.789], [-4.170, -2.315, 1.603], [1.990, 4.542, 0.850]], "species": ["Li", "Li", "Os", "Pb"], "frac_coords": [[0.000, 0.000, 0.000], [0.500, 0.500, 0.000], [0.250, 0.750, 0.500], [0.750, 0.250, 0.500]]}

***

Entry 6:
{"formula": "Ca6GeAu5", "functional": "PBE", "state": "relaxed", "e_form_ev_per_atom": -0.751, "m_tot_mub_per_cell": 0.00, "cell": [[4.887, -0.029, 1.593], [0.039, 7.298, 0.013], [-0.052, -0.014, 8.124]], "species": ["Ca", "Ca", "Ca", "Ca", "Ca", "Ca", "Au", "Au", "Au", "Au", "Au", "Ge"], "frac_coords": [[0.834, 0.752, 0.332], [0.834, 0.248, 0.332], [0.500, 0.249, 0.000], [0.500, 0.751, 0.000], [0.166, 0.752, 0.668], [0.166, 0.248, 0.668], [0.667, 0.500, 0.665], [0.333, 0.000, 0.333], [0.000, 0.500, 0.000], [0.667, 0.000, 0.667], [0.333, 0.500, 0.335], [0.000, 0.000, 0.000]]}

***

Entry 7:
{"formula": "LaY2MgPd", "functional": "PBE", "state": "relaxed", "e_form_ev_per_atom": -0.201, "m_tot_mub_per_cell": 0.86, "cell": [[5.438, 0.000, 0.000], [0.000, 5.438, 0.000], [0.000, 0.000, 5.211]], "species": ["Y", "Y", "Mg", "Pd", "La"], "frac_coords": [[0.000, 0.500, 0.000], [0.500, 0.000, 0.000], [0.000, 0.000, 0.500], [0.000, 0.000, 0.000], [0.500, 0.500, 0.500]]}

***

Entry 8:
{"formula": "MoOs2W2", "functional": "PBE", "state": "relaxed", "e_form_ev_per_atom": 0.263, "m_tot_mub_per_cell": 0.00, "cell": [[-3.029, 6.282, 2.736], [-2.602, -3.822, 5.894], [2.430, 0.549, 1.429]], "species": ["Mo", "Mo", "Os", "Os", "Os", "Os", "W", "W", "W", "W"], "frac_coords": [[0.000, 0.000, 0.000], [0.500, 0.500, 0.000], [0.368, 0.868, 0.000], [0.868, 0.632, 0.000], [0.632, 0.132, 0.000], [0.132, 0.368, 0.000], [0.167, 0.667, 0.500], [0.667, 0.833, 0.500], [0.833, 0.333, 0.500], [0.333, 0.167, 0.500]]}

***

Entry 9:
{"formula": "ZrTi4Fe", "functional": "PBE", "state": "relaxed", "e_form_ev_per_atom": 0.073, "m_tot_mub_per_cell": 0.00, "cell": [[5.103, -0.001, 0.000], [-0.002, 4.829, -0.616], [-2.552, -2.567, 8.735]], "species": ["Zr", "Zr", "Ti", "Ti", "Ti", "Ti", "Ti", "Ti", "Ti", "Ti", "Fe", "Fe"], "frac_coords": [[0.805, 0.750, 0.000], [0.195, 0.250, 0.000], [0.569, 0.101, 0.800], [0.770, 0.399, 0.200], [0.431, 0.899, 0.200], [0.230, 0.601, 0.800], [0.997, 0.991, 0.640], [0.358, 0.509, 0.360], [0.003, 0.009, 0.360], [0.642, 0.491, 0.640], [0.500, 0.000, 0.500], [0.000, 0.500, 0.500]]}

***

Entry 10:
{"formula": "Nd2CuRu", "functional": "PBE", "state": "relaxed", "e_form_ev_per_atom": -0.223, "m_tot_mub_per_cell": 0.00, "cell": [[4.212, 0.000, 0.000], [0.000, 5.533, -2.049], [0.000, -0.003, 8.051]], "species": ["Nd", "Nd", "Nd", "Nd", "Cu", "Cu", "Ru", "Ru"], "frac_coords": [[0.750, 0.215, 0.437], [0.250, 0.785, 0.563], [0.250, 0.777, 0.078], [0.750, 0.223, 0.922], [0.250, 0.358, 0.214], [0.750, 0.642, 0.786], [0.750, 0.646, 0.282], [0.250, 0.354, 0.718]]}

***

Entry 11:
{"formula": "Er3Mg2Tl3", "functional": "PBE", "state": "relaxed", "e_form_ev_per_atom": -0.198, "m_tot_mub_per_cell": 0.00, "cell": [[-0.385, -0.455, 3.736], [-4.024, -3.004, -0.780], [8.778, -6.975, -1.862]], "species": ["Er", "Er", "Er", "Mg", "Mg", "Tl", "Tl", "Tl"], "frac_coords": [[0.621, 0.621, 0.241], [0.379, 0.379, 0.759], [0.500, 0.000, 0.000], [0.754, 0.254, 0.508], [0.246, 0.746, 0.492], [0.143, 0.143, 0.286], [0.000, 0.500, 0.000], [0.857, 0.857, 0.714]]}

***

Entry 12:
{"formula": "Pr3YErTm", "functional": "PBE", "state": "relaxed", "e_form_ev_per_atom": 0.025, "m_tot_mub_per_cell": 0.00, "cell": [[-2.504, 2.876, 3.423], [-2.505, -7.657, 0.765], [7.404, -1.735, 6.874]], "species": ["Pr", "Pr", "Pr", "Pr", "Pr", "Pr", "Y", "Y", "Er", "Er", "Tm", "Tm"], "frac_coords": [[0.664, 0.328, 0.500], [0.336, 0.672, 0.500], [0.336, 0.672, 0.000], [0.664, 0.328, 0.000], [0.165, 0.329, 0.750], [0.835, 0.671, 0.250], [0.835, 0.671, 0.750], [0.165, 0.329, 0.250], [0.000, 0.000, 0.500], [0.000, 0.000, 0.000], [0.499, 0.998, 0.750], [0.501, 0.002, 0.250]]}